# AlSi2Ni, optimized geometry, DFT PBE
# total energy: -4.90 eV/atom
# total magnetic moment: 0.00 μB per formula unit
data_AlSi2Ni
_cell_length_a 6.0009
_cell_length_b 6.0009
_cell_length_c 6.0009
_cell_angle_alpha 90.00
_cell_angle_beta 90.00
_cell_angle_gamma 90.00
_space_group_name_H-M_alt 'F -4 3 m'
_space_group_IT_number 216
_space_group_name_Hall 'F -4 2 3'
loop_
_atom_site_label
_atom_site_type_symbol
_atom_site_fract_x
_atom_site_fract_y
_atom_site_fract_z
Al1 Al 0.0000 0.0000 0.0000
Si1 Si 0.0000 0.0000 0.5000
Si2 Si 0.2500 0.2500 0.7500
Ni1 Ni 0.2500 0.2500 0.2500